No. 1
Density functional theory data (GGA+U) for a relaxed structure of LiFe2F5.

extended XYZ file:
```
16
Lattice="1.9816 -5.2251 0.0000 1.9816 5.2251 0.0000 0.0000 0.0000 10.3839" Properties=species:S:1:pos:R:3 pbc="T T T"
Li 1.9816 3.3656 7.7879
Li 1.9816 -3.3656 2.5960
Fe 1.9816 3.8066 0.7141
Fe 1.9816 3.8066 4.4778
Fe 1.9816 -3.8066 5.9060
Fe 1.9816 -3.8066 9.6698
F 1.9816 4.6473 6.3933
F 1.9816 4.6473 9.1825
F 1.9816 2.8037 2.5960
F 1.9816 1.8901 5.8338
F 1.9816 1.8901 9.7420
F 1.9816 -1.8901 0.6419
F 1.9816 -1.8901 4.5501
F 1.9816 -2.8037 7.7879
F 1.9816 -4.6473 1.2013
F 1.9816 -4.6473 3.9906
```

## Properties
The space group is No. 63. The excess energy over the best structure of this formula in the dataset comes out at 22 meV per atom. The magnetization comes out at 16.0 μB per cell. Its density of states at the Fermi level is 0.00 states/eV/cell.

No. 2
Density functional theory data (GGA+U) for a relaxed structure of LiFe3F.

extended XYZ file:
```
5
Lattice="4.4059 0.0000 0.0000 0.0000 4.4059 0.0000 0.0000 0.0000 4.4059" Properties=species:S:1:pos:R:3 pbc="T T T"
Li 0.0000 0.0000 0.0000
Fe 0.0000 0.0000 2.2030
Fe 0.0000 2.2030 0.0000
Fe 2.2030 0.0000 0.0000
F 2.2030 2.2030 2.2030
```

## Properties
The space group is No. 221. The excess energy over the best structure of this formula in the dataset comes out at 414 meV per atom. The magnetization comes out at 9.8 μB per cell. Its density of states at the Fermi level is 2.99 states/eV/cell.

No. 3
Density functional theory data (GGA+U) for a relaxed structure of Li3Fe5F12.

extended XYZ file:
```
80
Lattice="-6.4308 6.4308 6.4308 6.4308 -6.4308 6.4308 6.4308 6.4308 -6.4308" Properties=species:S:1:pos:R:3 pbc="T T T"
Li 3.2154 1.6077 0.0000
Li 6.4308 3.2154 -1.6077
Li 1.6077 0.0000 3.2154
Li 8.0385 0.0000 3.2154
Li 0.0000 3.2154 1.6077
Li 3.2154 -1.6077 6.4308
Li 3.2154 8.0385 0.0000
Li 6.4308 3.2154 4.8231
Li -1.6077 6.4308 3.2154
Li 4.8231 6.4308 3.2154
Li 0.0000 3.2154 8.0385
Li 3.2154 4.8231 6.4308
Fe 0.0000 0.0000 0.0000
Fe 3.2154 3.2154 -3.2154
Fe 3.2154 -3.2154 3.2154
Fe 6.4308 0.0000 0.0000
Fe 9.6462 1.6077 0.0000
Fe 6.4308 -3.2154 4.8231
Fe 4.8231 6.4308 -3.2154
Fe 4.8231 0.0000 3.2154
Fe 3.2154 4.8231 0.0000
Fe 6.4308 3.2154 1.6077
Fe -3.2154 3.2154 3.2154
Fe 0.0000 6.4308 0.0000
Fe 0.0000 0.0000 6.4308
Fe 3.2154 3.2154 3.2154
Fe 0.0000 3.2154 4.8231
Fe 3.2154 1.6077 6.4308
Fe 1.6077 6.4308 3.2154
Fe 1.6077 0.0000 9.6462
Fe 0.0000 9.6462 1.6077
Fe -3.2154 4.8231 6.4308
F 5.2600 -2.8270 3.1082
F 10.8171 -0.1072 0.3884
F 5.2600 3.6039 -3.1082
F 4.3863 0.1072 0.3884
F 6.5380 6.0424 -4.3863
F 3.1082 -1.1709 2.8270
F 2.8270 3.1082 -1.1709
F 6.8193 2.0445 -0.1072
F 3.6039 -3.1082 5.2600
F 6.0424 -4.3863 6.5380
F 3.1082 5.2600 -2.8270
F 6.5380 0.3884 2.0445
F 6.5380 -0.3884 4.3863
F 9.5390 1.1709 2.8270
F 3.6039 3.1082 1.1709
F 6.0424 4.3863 -0.1072
F 0.3884 4.3863 0.1072
F 9.2578 3.3226 1.1709
F 0.1072 0.3884 4.3863
F 3.1082 1.1709 3.6039
F -1.1709 2.8270 3.1082
F 4.3863 -0.1072 6.0424
F 4.3863 6.5380 -0.3884
F 5.2600 2.8270 3.3226
F 1.1709 3.6039 3.1082
F 2.0445 -0.1072 6.8193
F 2.0445 6.5380 0.3884
F 7.6017 3.6039 3.3226
F 3.3226 5.2600 2.8270
F 6.3236 6.0424 2.0445
F -2.8270 3.1082 5.2600
F 6.0424 2.0445 6.3236
F 0.3884 2.0445 6.5380
F 2.8270 3.3226 5.2600
F -3.1082 5.2600 3.6039
F -0.1072 6.8193 2.0445
F -0.1072 6.0424 4.3863
F 3.3226 1.1709 9.2578
F 0.3884 10.8171 -0.1072
F 2.8270 9.5390 1.1709
F -0.3884 4.3863 6.5380
F 3.6039 3.3226 7.6017
F 3.3226 7.6017 3.6039
F -0.1072 0.3884 10.8171
F 2.0445 6.3236 6.0424
F 1.1709 2.8270 9.5390
F -4.3863 6.5380 6.0424
F 1.1709 9.2578 3.3226
```

## Properties
The space group is No. 230. The value obtained for the final energy is -5.18 eV per atom. The magnetization comes out at 79.3 μB per cell. Its density of states at the Fermi level is 7.24 states/eV/cell.

No. 4
Density functional theory data (GGA+U) for a relaxed structure of LiFe2F5.

extended XYZ file:
```
16
Lattice="5.7809 0.0000 0.0000 1.8026 5.6796 0.0000 0.1568 2.9269 6.1331" Properties=species:S:1:pos:R:3 pbc="T T T"
Li 0.0000 0.0000 0.0000
Li 1.8218 7.2128 3.8584
Fe 2.0054 2.6318 1.9685
Fe 2.7712 3.6291 5.4994
Fe 4.7253 4.8044 3.1739
Fe 5.3702 3.2143 0.2666
F 1.3831 4.0802 0.6996
F 0.9224 1.5607 0.3253
F 3.2293 7.9684 4.9375
F 3.6124 6.5648 2.8630
F 2.7551 4.0263 3.3129
F 3.5751 2.2319 0.5029
F 4.6724 5.0027 0.9632
F 4.6642 3.3802 4.8650
F 5.9652 6.0539 4.2934
F 5.6127 2.9584 2.4887
```

## Properties
The space group is No. 1. The excess energy over the best structure of this formula in the dataset comes out at 316 meV per atom. The magnetization comes out at 1.9 μB per cell. Its density of states at the Fermi level is 0.00 states/eV/cell.